Here is a geometry-optimized GaOsC3 structure from the Alexandria database. Energies are from PBE.

Summary:
The mass density is 8.509 g/cm3. As for the energy above the most stable polymorph in this dataset: 6.511 eV/f.u. For the formation energy from the elements, the calculation gives 302.3 kJ per mole of atoms. Its total energy is -5.25 eV/atom.

Cell: 3.866 3.866 3.866 Å, 90.00 90.00 90.00°
Sites, in units of the cell vectors:
Ga 0.000 0.000 0.000
C 0.500 0.000 0.000
Os 0.500 0.500 0.500
C 0.000 0.000 0.500
C 0.000 0.500 0.000


Here is a geometry-optimized GaOsC2 structure from the Alexandria database. Energies are from PBE.

Summary:
The mass density is 9.158 g/cm3. For the formation energy from the elements, the calculation gives 74.5 kJ per mole of atoms. Its total energy is -7.40 eV/atom.

Cell: 4.718 4.718 5.704 Å, 65.57 65.57 90.00°
Sites, in units of the cell vectors:
Os 0.750 0.250 0.500
Ga 0.500 0.500 0.000
C 0.875 0.899 0.750
Os 0.000 0.000 0.000
C 0.649 0.125 0.250
C 0.375 0.351 0.750
C 0.101 0.625 0.250
Ga 0.250 0.750 0.500


Here is a geometry-optimized Ga2OsC structure from the Alexandria database. Energies are from PBE.

Summary:
The mass density is 9.310 g/cm3. For the formation energy from the elements, the calculation gives 74.4 kJ per mole of atoms. Its total energy is -5.86 eV/atom.

Cell: 7.856 7.856 5.896 Å, 48.22 48.22 90.00°
Sites, in units of the cell vectors:
Ga 0.247 0.625 0.250
Ga 0.375 0.497 0.750
Ga 0.875 0.753 0.750
C 0.250 0.750 0.500
Os 0.750 0.250 0.500
C 0.500 0.500 0.000
Ga 0.503 0.125 0.250
Os 0.000 0.000 0.000


Here is a geometry-optimized GaOsC3 structure from the Alexandria database. Energies are from PBE.

Summary:
The mass density is 7.546 g/cm3. As for the energy above the most stable polymorph in this dataset: 0.000 eV/f.u. For the formation energy from the elements, the calculation gives 176.6 kJ per mole of atoms. Its total energy is -6.55 eV/atom.

Cell: 4.023 4.023 4.023 Å, 90.00 90.00 90.00°
Sites, in units of the cell vectors:
Os 0.000 0.000 0.000
C 0.000 0.000 0.500
C 0.500 0.000 0.000
Ga 0.500 0.500 0.500
C 0.000 0.500 0.000


Here is a geometry-optimized Pm2Ga2Os2C structure from the Alexandria database. Energies are from PBE.

Summary:
The mass density is 10.392 g/cm3. For the formation energy from the elements, the calculation gives -44.2 kJ per mole of atoms. Its total energy is -7.21 eV/atom.

Cell: 4.121 5.946 6.187 Å, 72.92 70.55 69.72°
Sites, in units of the cell vectors:
Os 0.198 0.689 0.914
Ga 0.149 0.393 0.310
Ga 0.851 0.607 0.690
Os 0.802 0.311 0.086
Pm 0.566 0.162 0.706
C 0.000 0.000 0.000
Pm 0.434 0.838 0.294


Here is a geometry-optimized GaOsRuC2 structure from the Alexandria database. Energies are from PBE.

Summary:
The mass density is 7.988 g/cm3. For the formation energy from the elements, the calculation gives 138.5 kJ per mole of atoms. Its total energy is -6.96 eV/atom.

Cell: 3.848 5.405 3.848 Å, 90.00 90.00 90.00°
Site moments in Bohr magnetons follow the coordinates.
Sites, in units of the cell vectors:
C 0.500 0.000 0.000  0.01
Ga 0.500 0.500 0.500  -0.04
Ru 0.000 0.500 0.000  1.29
Os 0.000 0.000 0.000  0.06
C 0.000 0.000 0.500  0.00


Here is a geometry-optimized GaOsCSe2 structure from the Alexandria database. Energies are from PBE.

Summary:
The mass density is 8.108 g/cm3. For the formation energy without anion corrections, the calculation gives 5.33 eV/f.u. Its total energy is -5.02 eV/atom.

Cell: 4.764 3.879 4.764 Å, 90.00 90.00 90.00°
Sites, in units of the cell vectors:
Os 0.000 0.500 0.000
Se 0.500 0.000 0.000
Ga 0.500 0.500 0.500
C 0.000 0.000 0.000
Se 0.000 0.000 0.500


Here is a geometry-optimized Tb2Ga2Os2C structure from the Alexandria database. Energies are from PBE.

Summary:
The mass density is 11.233 g/cm3. For the formation energy from the elements, the calculation gives -47.0 kJ per mole of atoms. Its total energy is -7.20 eV/atom.

Cell: 4.025 5.852 6.161 Å, 72.05 70.94 69.89°
Sites, in units of the cell vectors:
Os 0.199 0.686 0.916
C 0.000 0.000 0.000
Ga 0.144 0.390 0.321
Ga 0.856 0.610 0.679
Os 0.801 0.314 0.084
Tb 0.566 0.159 0.709
Tb 0.434 0.841 0.291


Question: mass density of number 7 (GaOsCSe2)?
Answer: 8.108 g/cm3


Question: Which of these has the lowest mass density?
Answer: number 4


Question: mass density of number 3 (Ga2OsC)?
Answer: 9.310 g/cm3